Material: SiAsRu2
Method: DFT, PBE
State: optimized geometry

The space group is P4mm (No. 99) and the conventional cell measures 2.870, 2.870 and 7.505 Å, with angles of 90.00, 90.00 and 90.00 degrees. Symmetry generates all atoms from Si at (0.000, 0.000, 0.000), As at (0.500, 0.500, 0.347), Ru at (0.000, 0.000, 0.559) and Ru at (0.500, 0.500, 0.809).

For the density, the calculation gives 8.2 Mg/m³. The energy comes out at -28.6 eV for the cell shown. For the formation energy without anion corrections, the calculation gives 0.01 eV/atom.

=====

Material: SiAsRu2
Method: DFT, PBE
State: optimized geometry

The space group is Pmmm (No. 47) and the conventional cell measures 2.977, 3.906 and 5.070 Å, with angles of 90.00, 90.00 and 90.00 degrees. Symmetry generates all atoms from Si at (0.000, 0.000, 0.000), As at (0.500, 0.000, 0.500), Ru at (0.000, 0.500, 0.500) and Ru at (0.500, 0.500, 0.000).

For the density, the calculation gives 8.6 Mg/m³. The energy comes out at -28.4 eV for the cell shown. For the formation energy without anion corrections, the calculation gives 0.06 eV/atom.

=====

Material: Si2SnAsRu
Method: DFT, PBE
State: optimized geometry

The space group is P4/mmm (No. 123) and the conventional cell measures 4.814, 4.814 and 4.634 Å, with angles of 90.00, 90.00 and 90.00 degrees. Symmetry generates all atoms from Si at (0.000, 0.500, 0.000), Sn at (0.000, 0.000, 0.500), As at (0.500, 0.500, 0.000) and Ru at (0.500, 0.500, 0.500).

For the density, the calculation gives 5.4 Mg/m³. The energy comes out at -24.1 eV for the cell shown. For the formation energy without anion corrections, the calculation gives 0.94 eV/atom.

=====

Material: SiTeAsRu2
Method: DFT, PBE
State: optimized geometry

The space group is P4/mmm (No. 123) and the conventional cell measures 4.863, 4.863 and 5.060 Å, with angles of 90.00, 90.00 and 90.00 degrees. Symmetry generates all atoms from Si at (0.000, 0.000, 0.000), Te at (0.000, 0.000, 0.500), As at (0.500, 0.500, 0.000) and Ru at (0.000, 0.500, 0.500).

For the density, the calculation gives 6.0 Mg/m³. The energy comes out at -23.6 eV for the cell shown. For the formation energy without anion corrections, the calculation gives 1.62 eV/atom. Its energy above the most stable polymorph in this dataset is 381.9 meV/atom.